Material: PmY5N6
Method: DFT, GGA-PBE
State: optimized geometry

The calculation puts the magnetization at 0.00 Bohr magnetons per cell. The value obtained for the total energy is -8.895 eV/atom. The calculation puts the density of states at the Fermi level at 0.6 states/eV/cell. The crystal system is monoclinic.

```
data_PmY5N6
_symmetry_space_group_name_H-M 'C 1 2/m 1'
_symmetry_Int_Tables_number 12
_cell_length_a 6.066
_cell_length_b 10.508
_cell_length_c 6.065
_cell_angle_alpha 90.00
_cell_angle_beta 109.46
_cell_angle_gamma 90.00
loop_
_symmetry_equiv_pos_as_xyz
'x,y,z'
'-x,-y,-z'
'-x,y,-z'
'x,-y,z'
'x+1/2,y+1/2,z'
'-x+1/2,-y+1/2,-z'
'-x+1/2,y+1/2,-z'
'x+1/2,-y+1/2,z'
loop_
_atom_site_label
_atom_site_fract_x
_atom_site_fract_y
_atom_site_fract_z
Pm1 0.000 0.000 0.000
Y1 0.000 0.167 0.500
Y2 0.000 0.333 0.000
Y3 0.000 0.500 0.500
N1 0.246 0.500 0.252
N2 0.247 0.331 0.747
```

Material: CdGaOs3
Method: DFT, GGA-PBE
State: optimized geometry

The calculation puts the magnetization at 3.33 Bohr magnetons per cell. The value obtained for the total energy is -4.519 eV/atom. The calculation puts the density of states at the Fermi level at 7.4 states/eV/cell. The polymorph energy (0 for the lowest one) comes out at 1228 meV/atom. The value obtained for the formation energy is 3006.8 meV per atom. The crystal system is cubic.

```
data_CdGaOs3
_symmetry_space_group_name_H-M 'P m -3 m'
_symmetry_Int_Tables_number 221
_symmetry_space_group_name_Hall '-P 4 2 3'
_cell_length_a 4.831
_cell_length_b 4.831
_cell_length_c 4.831
_cell_angle_alpha 90.00
_cell_angle_beta 90.00
_cell_angle_gamma 90.00
loop_
_atom_site_label
_atom_site_fract_x
_atom_site_fract_y
_atom_site_fract_z
Cd1 0.000 0.000 0.000
Ga1 0.500 0.500 0.500
Os1 0.000 0.000 0.500
```

Material: Mg3Mo
Method: DFT, GGA-PBE
State: optimized geometry

The calculation puts the magnetization at 0.00 Bohr magnetons per cell. The value obtained for the total energy is -3.554 eV/atom. The calculation puts the density of states at the Fermi level at 5.0 states/eV/cell. The polymorph energy (0 for the lowest one) comes out at 153 meV/atom. The value obtained for the formation energy is 349.6 meV per atom. The crystal system is orthorhombic.

```
data_Mg3Mo
_symmetry_space_group_name_H-M 'I m m m'
_symmetry_Int_Tables_number 71
_symmetry_space_group_name_Hall '-I 2 2'
_cell_length_a 3.030
_cell_length_b 4.997
_cell_length_c 10.004
_cell_angle_alpha 90.00
_cell_angle_beta 90.00
_cell_angle_gamma 90.00
loop_
_atom_site_label
_atom_site_fract_x
_atom_site_fract_y
_atom_site_fract_z
Mg1 0.000 0.000 0.000
Mg2 0.000 0.500 0.242
Mo1 0.000 0.000 0.500
```

Material: KZr4Os
Method: DFT, GGA-PBE
State: optimized geometry

The calculation puts the magnetization at 0.00 Bohr magnetons per cell. The value obtained for the total energy is -6.739 eV/atom. The calculation puts the density of states at the Fermi level at 39.3 states/eV/cell. The value obtained for the formation energy is 1014.2 meV per atom. The crystal system is cubic.

```
data_KZr4Os
_symmetry_space_group_name_H-M 'F -4 3 m'
_symmetry_Int_Tables_number 216
_symmetry_space_group_name_Hall 'F -4 2 3'
_cell_length_a 8.209
_cell_length_b 8.209
_cell_length_c 8.209
_cell_angle_alpha 90.00
_cell_angle_beta 90.00
_cell_angle_gamma 90.00
loop_
_atom_site_label
_atom_site_fract_x
_atom_site_fract_y
_atom_site_fract_z
K1 0.000 0.000 0.000
Zr1 0.122 0.122 0.378
Os1 0.250 0.250 0.750
```

Material: TaAlBr
Method: DFT, GGA-PBE
State: optimized geometry

The calculation puts the magnetization at 0.00 Bohr magnetons per cell. The value obtained for the total energy is -5.479 eV/atom. The calculation puts the density of states at the Fermi level at 10.1 states/eV/cell. The polymorph energy (0 for the lowest one) comes out at 527 meV/atom. The crystal system is orthorhombic.

```
data_TaAlBr
_symmetry_space_group_name_H-M 'F m m 2'
_symmetry_Int_Tables_number 42
_symmetry_space_group_name_Hall 'F 2 -2'
_cell_length_a 3.024
_cell_length_b 5.569
_cell_length_c 17.096
_cell_angle_alpha 90.00
_cell_angle_beta 90.00
_cell_angle_gamma 90.00
loop_
_atom_site_label
_atom_site_fract_x
_atom_site_fract_y
_atom_site_fract_z
Ta1 0.000 0.000 0.000
Al1 0.000 0.000 0.635
Br1 0.000 0.000 0.376
```

Material: LiPbSe2
Method: DFT, GGA-PBE
State: optimized geometry

The calculation puts the magnetization at 0.00 Bohr magnetons per cell. The value obtained for the total energy is -3.653 eV/atom. The calculation puts the density of states at the Fermi level at 3.7 states/eV/cell. The crystal system is monoclinic.

```
data_LiPbSe2
_symmetry_space_group_name_H-M 'C 1 m 1'
_symmetry_Int_Tables_number 8
_cell_length_a 11.073
_cell_length_b 4.209
_cell_length_c 4.430
_cell_angle_alpha 90.00
_cell_angle_beta 103.28
_cell_angle_gamma 90.00
loop_
_symmetry_equiv_pos_as_xyz
'x,y,z'
'x,-y,z'
'x+1/2,y+1/2,z'
'x+1/2,-y+1/2,z'
loop_
_atom_site_label
_atom_site_fract_x
_atom_site_fract_y
_atom_site_fract_z
Li1 0.000 0.000 0.000
Pb1 0.243 0.500 0.377
Se1 0.219 0.000 0.875
Se2 0.470 0.000 0.340
```

Material: SrPb2S3
Method: DFT, GGA-PBE
State: optimized geometry

The calculation puts the magnetization at 0.00 Bohr magnetons per cell. The value obtained for the total energy is -4.126 eV/atom. The calculation puts the density of states at the Fermi level at 0.3 states/eV/cell. The polymorph energy (0 for the lowest one) comes out at 533 meV/atom. The crystal system is orthorhombic.

```
data_SrPb2S3
_symmetry_space_group_name_H-M 'C m c m'
_symmetry_Int_Tables_number 63
_symmetry_space_group_name_Hall '-C 2c 2'
_cell_length_a 11.320
_cell_length_b 11.905
_cell_length_c 6.755
_cell_angle_alpha 90.00
_cell_angle_beta 90.00
_cell_angle_gamma 90.00
loop_
_atom_site_label
_atom_site_fract_x
_atom_site_fract_y
_atom_site_fract_z
Sr1 0.000 0.099 0.250
Pb1 0.165 0.500 0.000
S1 0.000 0.374 0.750
S2 0.159 0.085 0.750
```

Material: Sm12ErTl4O3
Method: DFT, GGA-PBE
State: optimized geometry

The calculation puts the magnetization at 0.00 Bohr magnetons per cell. The value obtained for the total energy is -5.015 eV/atom. The calculation puts the density of states at the Fermi level at 34.3 states/eV/cell. The crystal system is cubic.

```
data_Sm12ErTl4O3
_symmetry_space_group_name_H-M 'I m -3 m'
_symmetry_Int_Tables_number 229
_symmetry_space_group_name_Hall '-I 4 2 3'
_cell_length_a 10.213
_cell_length_b 10.213
_cell_length_c 10.213
_cell_angle_alpha 90.00
_cell_angle_beta 90.00
_cell_angle_gamma 90.00
loop_
_atom_site_label
_atom_site_fract_x
_atom_site_fract_y
_atom_site_fract_z
Sm1 0.000 0.000 0.275
Sm2 0.000 0.250 0.500
Er1 0.000 0.000 0.000
Tl1 0.250 0.250 0.250
O1 0.000 0.000 0.500
```

Material: MgAsH3
Method: DFT, GGA-PBE
State: optimized geometry

The calculation puts the magnetization at 0.00 Bohr magnetons per cell. The value obtained for the total energy is -2.695 eV/atom. The calculation puts the density of states at the Fermi level at 3.1 states/eV/cell. The polymorph energy (0 for the lowest one) comes out at 69 meV/atom. The crystal system is cubic.

```
data_MgAsH3
_symmetry_space_group_name_H-M 'P m -3 m'
_symmetry_Int_Tables_number 221
_symmetry_space_group_name_Hall '-P 4 2 3'
_cell_length_a 3.712
_cell_length_b 3.712
_cell_length_c 3.712
_cell_angle_alpha 90.00
_cell_angle_beta 90.00
_cell_angle_gamma 90.00
loop_
_atom_site_label
_atom_site_fract_x
_atom_site_fract_y
_atom_site_fract_z
Mg1 0.000 0.000 0.000
As1 0.500 0.500 0.500
H1 0.000 0.000 0.500
```

Material: RbCoI2N
Method: DFT, GGA-PBE
State: optimized geometry

The calculation puts the magnetization at 5.41 Bohr magnetons per cell. The value obtained for the total energy is -2.412 eV/atom. The calculation puts the density of states at the Fermi level at 8.2 states/eV/cell. The polymorph energy (0 for the lowest one) comes out at 1514 meV/atom. The crystal system is tetragonal.

```
data_RbCoI2N
_symmetry_space_group_name_H-M 'P 4/m m m'
_symmetry_Int_Tables_number 123
_symmetry_space_group_name_Hall '-P 4 2'
_cell_length_a 6.760
_cell_length_b 6.760
_cell_length_c 5.335
_cell_angle_alpha 90.00
_cell_angle_beta 90.00
_cell_angle_gamma 90.00
loop_
_atom_site_label
_atom_site_fract_x
_atom_site_fract_y
_atom_site_fract_z
Rb1 0.000 0.000 0.000
Co1 0.500 0.500 0.500
I1 0.000 0.500 0.000
N1 0.000 0.000 0.500
```